1.
Li2FeOs | GGA-PBE | relaxed

Total magnetic moment = 2.42 μB/f.u.
DFT formation energy = 0.185 eV per atom
Density of states at the Fermi level = 1.4 states/eV/cell

abc: 9.362 9.362 9.362
angles: 16.01 16.01 16.01
Element x y z (fractional)
Li: 0.249 0.249 0.249
Li: 0.751 0.751 0.751
Fe: 0.000 0.000 0.000
Os: 0.500 0.500 0.500

=====

2.
LiFe2Os | GGA-PBE | relaxed

Total magnetic moment = 4.03 μB/f.u.
DFT formation energy = 0.277 eV per atom
Density of states at the Fermi level = 4.3 states/eV/cell

abc: 2.605 2.605 7.716
angles: 90.00 90.00 90.00
Element x y z (fractional)
Li: 0.000 0.000 0.000
Fe: 0.000 0.000 0.495
Fe: 0.500 0.500 0.723
Os: 0.500 0.500 0.271

=====

3.
LiFe2Os | GGA-PBE | relaxed

Total magnetic moment = 4.37 μB/f.u.
DFT formation energy = 0.306 eV per atom
Density of states at the Fermi level = 4.0 states/eV/cell

abc: 2.950 2.950 5.562
angles: 90.00 90.00 90.00
Element x y z (fractional)
Li: 0.000 0.000 0.000
Fe: 0.000 0.000 0.516
Fe: 0.500 0.500 0.762
Os: 0.500 0.500 0.268